Crystalline Sm4Tm5Pb2 at its relaxed geometry, computed with GGA-PBE.

Output
formation energy = 19 kJ per mole of atoms
raw total energy = -4.23 eV/atom

abc: 5.284 5.284 15.762
angles: 80.35 80.35 60.00
Last column: magnetic moment on the atom in μB.
Atoms (fractional coordinates):
Sm (0.572, 0.572, 0.284)  0.03
Sm (0.428, 0.428, 0.716)  0.03
Sm (0.725, 0.725, 0.826)  -0.04
Sm (0.275, 0.275, 0.174)  -0.04
Pb (0.877, 0.877, 0.370)  -0.01
Pb (0.123, 0.123, 0.630)  -0.01
Tm (0.197, 0.197, 0.409)  0.15
Tm (0.500, 0.500, 0.500)  0.27
Tm (0.352, 0.352, 0.944)  -0.08
Tm (0.648, 0.648, 0.056)  -0.08
Tm (0.803, 0.803, 0.591)  0.15